Entry 1:
The following is a DFT calculation (GGA-PBEsol) of crystalline MnTcBr2 at its relaxed geometry.

The excess energy over the best structure of this formula in the dataset comes out at 0.100 eV per atom. Its density is 6753 kg/m³. The volume is 19.225 Å³/atom. As for the crystal system: orthorhombic. For the magnetization, the calculation gives 6.69 μB/f.u. The value obtained for the final energy is -5.404 eV/atom.

The structure belongs to space group Pmmm (No. 47); the cell edges are 3.1398, 4.2006 and 5.8304 Å and the angles 90.00°, 90.00° and 90.00°. Symmetry generates all atoms from Mn at (0.0000, 0.0000, 0.0000), Tc at (0.5000, 0.0000, 0.5000), Br at (0.0000, 0.5000, 0.5000) and Br at (0.5000, 0.5000, 0.0000).


Entry 2:
The following is a DFT calculation (GGA-PBEsol) of crystalline As2RuBr at its relaxed geometry.

The excess energy over the best structure of this formula in the dataset comes out at 0.000 eV per atom. Its density is 7325 kg/m³. The volume is 18.749 Å³/atom. As for the crystal system: tetragonal. For the magnetization, the calculation gives 0.00 μB/f.u. The value obtained for the final energy is -5.328 eV/atom.

The structure belongs to space group P4mm (No. 99); the cell edges are 3.2305, 3.2305 and 7.1861 Å and the angles 90.00°, 90.00° and 90.00°. Symmetry generates all atoms from As at (0.0000, 0.0000, 0.0000), As at (0.5000, 0.5000, 0.2085), Ru at (0.0000, 0.0000, 0.3605) and Br at (0.5000, 0.5000, 0.6281).